1.
A plane-wave DFT calculation with meta-GGA SCAN was carried out for LiTi2CuBr at its PBEsol-relaxed geometry.

a b c (Å): 4.5926 4.5926 5.2707
angles (deg): 90.00 90.00 90.00
Space group P4/mmm (No. 123)
Inequivalent atoms, fractional coordinates:
Li1 0.0000 0.0000 0.0000 [1 per cell]
Ti1 0.0000 0.5000 0.5000 [2 per cell]
Cu1 0.5000 0.5000 0.5000 [1 per cell]
Br1 0.5000 0.5000 0.0000 [1 per cell]

Computed properties:
density of states at the Fermi level = 1.0007 states/eV per atom
V = 22.2 A^3/atom
raw formation energy = 804 meV per atom
uncorrected energy = -0.478 hartree per atom

---

2.
A plane-wave DFT calculation with meta-GGA SCAN was carried out for MgCuMoBr2 at its PBEsol-relaxed geometry.

a b c (Å): 4.8123 4.8123 6.4304
angles (deg): 90.00 90.00 90.00
Space group P4/mmm (No. 123)
Inequivalent atoms, fractional coordinates:
Mg1 0.0000 0.0000 0.0000 [1 per cell]
Cu1 0.5000 0.5000 0.5000 [1 per cell]
Mo1 0.0000 0.0000 0.5000 [1 per cell]
Br1 0.0000 0.5000 0.0000 [2 per cell]

Computed properties:
density of states at the Fermi level = 0.0979 states/eV per atom
V = 29.8 A^3/atom
raw formation energy = 759 meV per atom
uncorrected energy = -0.663 hartree per atom

---

3.
A plane-wave DFT calculation with meta-GGA SCAN was carried out for MnCuBr2 at its PBEsol-relaxed geometry.

a b c (Å): 3.5403 6.0195 7.5385
angles (deg): 90.00 90.00 90.00
Space group Immm (No. 71)
Inequivalent atoms, fractional coordinates:
Mn1 0.0000 0.0000 0.0000 [2 per cell]
Cu1 0.0000 0.0000 0.5000 [2 per cell]
Br1 0.0000 0.5000 0.2419 [4 per cell]

Computed properties:
density of states at the Fermi level = 0.4848 states/eV per atom
V = 20.1 A^3/atom
raw formation energy = -47 meV per atom
energy above the lowest structure with this stoichiometry = 0 meV/atom
uncorrected energy = -0.667 hartree per atom

---

4.
A plane-wave DFT calculation with meta-GGA SCAN was carried out for MnCuBr2 at its PBEsol-relaxed geometry.

a b c (Å): 3.6259 3.6776 5.9488
angles (deg): 90.00 90.00 90.00
Space group Pmmm (No. 47)
Inequivalent atoms, fractional coordinates:
Mn1 0.0000 0.0000 0.0000 [1 per cell]
Cu1 0.0000 0.5000 0.5000 [1 per cell]
Br1 0.5000 0.0000 0.5000 [1 per cell]
Br2 0.5000 0.5000 0.0000 [1 per cell]

Computed properties:
density of states at the Fermi level = 0.3646 states/eV per atom
V = 19.8 A^3/atom
raw formation energy = -40 meV per atom
energy above the lowest structure with this stoichiometry = 7 meV/atom
uncorrected energy = -0.666 hartree per atom

---

5.
A plane-wave DFT calculation with meta-GGA SCAN was carried out for MnCu2Br at its PBEsol-relaxed geometry.

a b c (Å): 4.9806 7.5540 3.1725
angles (deg): 90.00 90.00 90.00
Space group Cmmm (No. 65)
Inequivalent atoms, fractional coordinates:
Mn1 0.0000 0.0000 0.0000 [2 per cell]
Cu1 0.2500 0.2500 0.5000 [4 per cell]
Br1 0.0000 0.5000 0.0000 [2 per cell]

Computed properties:
density of states at the Fermi level = 0.2151 states/eV per atom
V = 14.9 A^3/atom
raw formation energy = 345 meV per atom
uncorrected energy = -0.613 hartree per atom

---

6.
A plane-wave DFT calculation with meta-GGA SCAN was carried out for MnCuPbBr2 at its PBEsol-relaxed geometry.

a b c (Å): 4.8893 4.8893 5.0606
angles (deg): 90.00 90.00 90.00
Space group P4/mmm (No. 123)
Inequivalent atoms, fractional coordinates:
Mn1 0.0000 0.0000 0.0000 [1 per cell]
Cu1 0.0000 0.0000 0.5000 [1 per cell]
Pb1 0.5000 0.5000 0.0000 [1 per cell]
Br1 0.0000 0.5000 0.5000 [2 per cell]

Computed properties:
density of states at the Fermi level = 0.5456 states/eV per atom
V = 24.2 A^3/atom
raw formation energy = 178 meV per atom
uncorrected energy = -1.082 hartree per atom

---

7.
A plane-wave DFT calculation with meta-GGA SCAN was carried out for MnCuSeBr2 at its PBEsol-relaxed geometry.

a b c (Å): 4.8872 4.8872 4.9382
angles (deg): 90.00 90.00 90.00
Space group P4/mmm (No. 123)
Inequivalent atoms, fractional coordinates:
Mn1 0.0000 0.0000 0.0000 [1 per cell]
Cu1 0.5000 0.5000 0.5000 [1 per cell]
Se1 0.0000 0.0000 0.5000 [1 per cell]
Br1 0.0000 0.5000 0.0000 [2 per cell]

Computed properties:
density of states at the Fermi level = 0.6998 states/eV per atom
V = 23.6 A^3/atom
raw formation energy = 35 meV per atom
uncorrected energy = -0.678 hartree per atom

---

8.
A plane-wave DFT calculation with meta-GGA SCAN was carried out for Cu2MoBr at its PBEsol-relaxed geometry.

a b c (Å): 6.2933 6.2933 6.2933
angles (deg): 90.00 90.00 90.00
Space group Fm-3m (No. 225)
Inequivalent atoms, fractional coordinates:
Cu1 0.2500 0.2500 0.2500 [8 per cell]
Mo1 0.0000 0.0000 0.0000 [4 per cell]
Br1 0.0000 0.0000 0.5000 [4 per cell]

Computed properties:
density of states at the Fermi level = 0.5305 states/eV per atom
V = 15.6 A^3/atom
raw formation energy = 1190 meV per atom
energy above the lowest structure with this stoichiometry = 659 meV/atom
uncorrected energy = -0.735 hartree per atom

---

9.
A plane-wave DFT calculation with meta-GGA SCAN was carried out for CuMo2Br at its PBEsol-relaxed geometry.

a b c (Å): 9.0816 3.0548 4.7871
angles (deg): 90.00 106.18 90.00
Space group Cm (No. 8)
Inequivalent atoms, fractional coordinates:
Cu1 0.0000 0.0000 0.0000 [2 per cell]
Mo1 0.0419 0.5000 0.5689 [2 per cell]
Mo2 0.2504 0.0000 0.8192 [2 per cell]
Br1 0.2717 0.5000 0.2886 [2 per cell]

Computed properties:
density of states at the Fermi level = 0.7003 states/eV per atom
V = 15.9 A^3/atom
raw formation energy = 808 meV per atom
uncorrected energy = -0.930 hartree per atom

---

10.
A plane-wave DFT calculation with meta-GGA SCAN was carried out for Cu2MoBr at its PBEsol-relaxed geometry.

a b c (Å): 2.8781 2.8781 25.4145
angles (deg): 90.00 90.00 120.00
Space group R-3m (No. 166, hexagonal axes)
Inequivalent atoms, fractional coordinates:
Cu1 0.0000 0.0000 0.2479 [6 per cell]
Mo1 0.0000 0.0000 0.5000 [3 per cell]
Br1 0.0000 0.0000 0.0000 [3 per cell]

Computed properties:
density of states at the Fermi level = 0.6725 states/eV per atom
V = 15.2 A^3/atom
raw formation energy = 603 meV per atom
energy above the lowest structure with this stoichiometry = 72 meV/atom
uncorrected energy = -0.756 hartree per atom

---

11.
A plane-wave DFT calculation with meta-GGA SCAN was carried out for Cu2MoBr at its PBEsol-relaxed geometry.

a b c (Å): 2.9365 2.9365 25.0373
angles (deg): 90.00 90.00 120.00
Space group R3m (No. 160, hexagonal axes)
Inequivalent atoms, fractional coordinates:
Cu1 0.0000 0.0000 0.0000 [3 per cell]
Cu2 0.0000 0.0000 0.2626 [3 per cell]
Mo1 0.0000 0.0000 0.7478 [3 per cell]
Br1 0.0000 0.0000 0.4916 [3 per cell]

Computed properties:
density of states at the Fermi level = 0.5399 states/eV per atom
V = 15.6 A^3/atom
raw formation energy = 531 meV per atom
energy above the lowest structure with this stoichiometry = 0 meV/atom
uncorrected energy = -0.759 hartree per atom

---

12.
A plane-wave DFT calculation with meta-GGA SCAN was carried out for CuMoBr at its PBEsol-relaxed geometry.

a b c (Å): 6.1394 6.1394 6.1394
angles (deg): 90.00 90.00 90.00
Space group F-43m (No. 216)
Inequivalent atoms, fractional coordinates:
Cu1 0.0000 0.0000 0.0000 [4 per cell]
Mo1 0.2500 0.2500 0.2500 [4 per cell]
Br1 0.2500 0.2500 0.7500 [4 per cell]

Computed properties:
density of states at the Fermi level = 0.3491 states/eV per atom
V = 19.3 A^3/atom
raw formation energy = 1351 meV per atom
uncorrected energy = -0.802 hartree per atom

---

13.
A plane-wave DFT calculation with meta-GGA SCAN was carried out for CuMo2Br at its PBEsol-relaxed geometry.

a b c (Å): 2.8844 2.8844 25.3268
angles (deg): 90.00 90.00 120.00
Space group R-3m (No. 166, hexagonal axes)
Inequivalent atoms, fractional coordinates:
Cu1 0.0000 0.0000 0.0000 [3 per cell]
Mo1 0.0000 0.0000 0.2508 [6 per cell]
Br1 0.0000 0.0000 0.5000 [3 per cell]

Computed properties:
density of states at the Fermi level = 0.7155 states/eV per atom
V = 15.2 A^3/atom
raw formation energy = 809 meV per atom
uncorrected energy = -0.930 hartree per atom

---

14.
A plane-wave DFT calculation with meta-GGA SCAN was carried out for Cu3MoBr at its PBEsol-relaxed geometry.

a b c (Å): 4.6813 4.6813 4.6813
angles (deg): 90.00 90.00 90.00
Space group Pm-3m (No. 221)
Inequivalent atoms, fractional coordinates:
Cu1 0.0000 0.0000 0.5000 [3 per cell]
Mo1 0.0000 0.0000 0.0000 [1 per cell]
Br1 0.5000 0.5000 0.5000 [1 per cell]

Computed properties:
density of states at the Fermi level = 0.4550 states/eV per atom
V = 20.5 A^3/atom
raw formation energy = 1592 meV per atom
uncorrected energy = -0.676 hartree per atom

---

15.
A plane-wave DFT calculation with meta-GGA SCAN was carried out for Cu2MoBr at its PBEsol-relaxed geometry.

a b c (Å): 4.9496 8.4667 2.8213
angles (deg): 90.00 90.00 90.00
Space group Cmmm (No. 65)
Inequivalent atoms, fractional coordinates:
Cu1 0.2500 0.2500 0.0000 [4 per cell]
Mo1 0.0000 0.0000 0.5000 [2 per cell]
Br1 0.0000 0.5000 0.5000 [2 per cell]

Computed properties:
density of states at the Fermi level = 0.6098 states/eV per atom
V = 14.8 A^3/atom
raw formation energy = 785 meV per atom
energy above the lowest structure with this stoichiometry = 254 meV/atom
uncorrected energy = -0.750 hartree per atom

---

16.
A plane-wave DFT calculation with meta-GGA SCAN was carried out for Cu2MoBr at its PBEsol-relaxed geometry.

a b c (Å): 3.7207 3.7207 4.1824
angles (deg): 90.00 90.00 90.00
Space group P4/mmm (No. 123)
Inequivalent atoms, fractional coordinates:
Cu1 0.0000 0.5000 0.0000 [2 per cell]
Mo1 0.0000 0.0000 0.5000 [1 per cell]
Br1 0.5000 0.5000 0.5000 [1 per cell]

Computed properties:
density of states at the Fermi level = 0.6570 states/eV per atom
V = 14.5 A^3/atom
raw formation energy = 981 meV per atom
energy above the lowest structure with this stoichiometry = 450 meV/atom
uncorrected energy = -0.743 hartree per atom

---

17.
A plane-wave DFT calculation with meta-GGA SCAN was carried out for CuMo2RuBr at its PBEsol-relaxed geometry.

a b c (Å): 4.5152 4.5152 4.5015
angles (deg): 90.00 90.00 90.00
Space group P4/mmm (No. 123)
Inequivalent atoms, fractional coordinates:
Cu1 0.0000 0.0000 0.0000 [1 per cell]
Mo1 0.0000 0.5000 0.0000 [2 per cell]
Ru1 0.0000 0.0000 0.5000 [1 per cell]
Br1 0.5000 0.5000 0.5000 [1 per cell]

Computed properties:
density of states at the Fermi level = 1.1370 states/eV per atom
V = 18.4 A^3/atom
raw formation energy = 1951 meV per atom
uncorrected energy = -0.952 hartree per atom

---

18.
A plane-wave DFT calculation with meta-GGA SCAN was carried out for Sc2CuMoBr at its PBEsol-relaxed geometry.

a b c (Å): 4.8673 4.8673 4.3377
angles (deg): 90.00 90.00 90.00
Space group P4/mmm (No. 123)
Inequivalent atoms, fractional coordinates:
Sc1 0.0000 0.5000 0.0000 [2 per cell]
Cu1 0.0000 0.0000 0.5000 [1 per cell]
Mo1 0.5000 0.5000 0.5000 [1 per cell]
Br1 0.0000 0.0000 0.0000 [1 per cell]

Computed properties:
density of states at the Fermi level = 0.7743 states/eV per atom
V = 20.6 A^3/atom
raw formation energy = 696 meV per atom
uncorrected energy = -0.695 hartree per atom

---

19.
A plane-wave DFT calculation with meta-GGA SCAN was carried out for Cu2BrN at its PBEsol-relaxed geometry.

a b c (Å): 5.9060 5.9060 5.9060
angles (deg): 90.00 90.00 90.00
Space group Fm-3m (No. 225)
Inequivalent atoms, fractional coordinates:
Cu1 0.2500 0.2500 0.2500 [8 per cell]
Br1 0.0000 0.0000 0.0000 [4 per cell]
N1 0.0000 0.0000 0.5000 [4 per cell]

Computed properties:
density of states at the Fermi level = 0.2216 states/eV per atom
V = 12.9 A^3/atom
raw formation energy = 1220 meV per atom
uncorrected energy = -0.499 hartree per atom

---

20.
A plane-wave DFT calculation with meta-GGA SCAN was carried out for CuBrNO2 at its PBEsol-relaxed geometry.

a b c (Å): 3.7595 3.7595 4.1025
angles (deg): 90.00 90.00 90.00
Space group P4/mmm (No. 123)
Inequivalent atoms, fractional coordinates:
Cu1 0.0000 0.0000 0.0000 [1 per cell]
Br1 0.5000 0.5000 0.5000 [1 per cell]
N1 0.5000 0.5000 0.0000 [1 per cell]
O1 0.0000 0.5000 0.5000 [2 per cell]

Computed properties:
density of states at the Fermi level = 0.3597 states/eV per atom
V = 11.6 A^3/atom
raw formation energy = 1427 meV per atom
uncorrected energy = -0.362 hartree per atom